Entry 1:
VASP calculation (PBE) on an optimized crystal structure of CsTl6Hg12.

## Properties
energy above the lowest structure with this stoichiometry	27	meV/atom
size of the total moment	0.000	μB/f.u.
final energy	-19.13	eV/cell
density of states at the Fermi level	0.465	states/eV/atom
energy of formation from the pure elements	-0.0240	eV per atom

a = 8.8952 Å, b = 8.8952 Å, c = 8.8952 Å
α = 104.44°, β = 104.44°, γ = 104.44°
Element x y z (fractional)
Cs 0.0000 0.0000 0.0000
Tl 0.2831 0.2831 0.7016
Tl 0.2831 0.7016 0.2831
Tl 0.2984 0.7169 0.7169
Tl 0.7016 0.2831 0.2831
Tl 0.7169 0.2984 0.7169
Tl 0.7169 0.7169 0.2984
Hg 0.1099 0.5000 0.8901
Hg 0.1099 0.8901 0.5000
Hg 0.1212 0.3864 0.3864
Hg 0.3864 0.1212 0.3864
Hg 0.3864 0.3864 0.1212
Hg 0.5000 0.1099 0.8901
Hg 0.5000 0.8901 0.1099
Hg 0.6136 0.6136 0.8788
Hg 0.6136 0.8788 0.6136
Hg 0.8788 0.6136 0.6136
Hg 0.8901 0.1099 0.5000
Hg 0.8901 0.5000 0.1099

=====

Entry 2:
VASP calculation (PBE) on an optimized crystal structure of AgSb3S6.

## Properties
size of the total moment	0.000	μB/f.u.
E_form (uncorrected)	-109.4	meV per atom
final energy	-82.15	eV/cell
density of states at the Fermi level	0.496	states/eV/atom

a = 10.0521 Å, b = 3.7916 Å, c = 13.0684 Å
α = 90.00°, β = 100.16°, γ = 90.00°
Element x y z (fractional)
Ag 0.0294 0.2500 0.1406
Ag 0.9706 0.7500 0.8594
Sb 0.1294 0.2500 0.6011
Sb 0.3253 0.7500 0.0537
Sb 0.4285 0.2500 0.3195
Sb 0.5715 0.7500 0.6805
Sb 0.6747 0.2500 0.9463
Sb 0.8706 0.7500 0.3989
S 0.1295 0.7500 0.4526
S 0.1328 0.7500 0.7366
S 0.1450 0.2500 0.9848
S 0.2339 0.7500 0.2186
S 0.4014 0.2500 0.6036
S 0.4930 0.7500 0.8510
S 0.5070 0.2500 0.1490
S 0.5986 0.7500 0.3964
S 0.7661 0.2500 0.7814
S 0.8550 0.7500 0.0152
S 0.8672 0.2500 0.2634
S 0.8705 0.2500 0.5474

=====

Entry 3:
VASP calculation (PBE) on an optimized crystal structure of SmGdH.

## Properties
energy above the lowest structure with this stoichiometry	0	meV/atom
size of the total moment	7.414	μB/f.u.
final energy	-22.85	eV/cell
density of states at the Fermi level	0.943	states/eV/atom

a = 3.6707 Å, b = 3.6707 Å, c = 5.7366 Å
α = 90.00°, β = 90.00°, γ = 120.00°
Element x y z (fractional)
Sm 0.0000 0.0000 0.0000
Gd 0.6667 0.3333 0.5160
H 0.3333 0.6667 0.7527

=====

Entry 4:
VASP calculation (PBE) on an optimized crystal structure of MgBeSi2.

## Properties
energy above the lowest structure with this stoichiometry	0	meV/atom
size of the total moment	0.000	μB/f.u.
E_form (uncorrected)	100.8	meV per atom
final energy	-63.05	eV/cell
density of states at the Fermi level	0.226	states/eV/atom

a = 5.9222 Å, b = 9.0739 Å, c = 5.2789 Å
α = 90.00°, β = 118.81°, γ = 90.00°
Element x y z (fractional)
Mg 0.0000 0.1455 0.0000
Mg 0.0000 0.8545 0.5000
Mg 0.5000 0.3545 0.5000
Mg 0.5000 0.6455 0.0000
Be 0.2110 0.1359 0.6360
Be 0.2110 0.8641 0.1360
Be 0.7110 0.3641 0.1360
Be 0.7110 0.6359 0.6360
Si 0.2788 0.3525 0.8631
Si 0.2788 0.6475 0.3631
Si 0.4773 0.0219 0.4987
Si 0.4773 0.9781 0.9987
Si 0.7788 0.1475 0.3631
Si 0.7788 0.8525 0.8631
Si 0.9773 0.4781 0.9987
Si 0.9773 0.5219 0.4987

=====

Entry 5:
VASP calculation (PBE) on an optimized crystal structure of ErZrBi.

## Properties
size of the total moment	0.272	μB/f.u.
final energy	-17.14	eV/cell
density of states at the Fermi level	1.592	states/eV/atom
energy of formation from the pure elements	-0.0486	eV per atom

a = 5.1869 Å, b = 5.1869 Å, c = 3.5022 Å
α = 90.00°, β = 90.00°, γ = 120.00°
Element x y z (fractional)
Er 0.0000 0.0000 0.0000
Zr 0.3333 0.6667 0.4752
Bi 0.6667 0.3333 0.6025

=====

Entry 6:
VASP calculation (PBE) on an optimized crystal structure of ErPuGa4.

## Properties
energy above the lowest structure with this stoichiometry	0	meV/atom
size of the total moment	5.946	μB/f.u.
final energy	-67.81	eV/cell
density of states at the Fermi level	1.713	states/eV/atom
energy of formation from the pure elements	-0.4835	eV per atom

a = 4.4255 Å, b = 7.1944 Å, c = 7.6799 Å
α = 90.00°, β = 90.00°, γ = 90.00°
Element x y z (fractional)
Er 0.0000 0.0000 0.0000
Er 0.5000 0.5000 0.5000
Pu 0.0000 0.5000 0.0000
Pu 0.5000 0.0000 0.5000
Ga 0.0000 0.2538 0.3331
Ga 0.0000 0.2538 0.6669
Ga 0.0000 0.7462 0.3331
Ga 0.0000 0.7462 0.6669
Ga 0.5000 0.2462 0.1669
Ga 0.5000 0.2462 0.8331
Ga 0.5000 0.7538 0.1669
Ga 0.5000 0.7538 0.8331

=====

Entry 7:
VASP calculation (PBE) on an optimized crystal structure of Ni5Ir3Se12.

## Properties
size of the total moment	0.000	μB/f.u.
E_form (uncorrected)	-10.5	meV per atom
final energy	-390.05	eV/cell
density of states at the Fermi level	0.468	states/eV/atom

a = 12.5962 Å, b = 12.5962 Å, c = 12.5962 Å
α = 109.47°, β = 109.47°, γ = 109.47°
Element x y z (fractional)
Ni 0.0000 0.0000 0.0000
Ni 0.0000 0.0000 0.5000
Ni 0.0000 0.5000 0.0000
Ni 0.0000 0.5000 0.5000
Ni 0.1250 0.7500 0.8750
Ni 0.1250 0.8750 0.2500
Ni 0.2500 0.1250 0.8750
Ni 0.2500 0.6250 0.3750
Ni 0.3750 0.2500 0.6250
Ni 0.3750 0.6250 0.7500
Ni 0.5000 0.0000 0.0000
Ni 0.5000 0.0000 0.5000
Ni 0.5000 0.5000 0.0000
Ni 0.5000 0.5000 0.5000
Ni 0.6250 0.3750 0.2500
Ni 0.6250 0.7500 0.3750
Ni 0.7500 0.3750 0.6250
Ni 0.7500 0.8750 0.1250
Ni 0.8750 0.1250 0.7500
Ni 0.8750 0.2500 0.1250
Ir 0.1250 0.2500 0.3750
Ir 0.1250 0.3750 0.7500
Ir 0.2500 0.3750 0.1250
Ir 0.2500 0.8750 0.6250
Ir 0.3750 0.1250 0.2500
Ir 0.3750 0.7500 0.1250
Ir 0.6250 0.2500 0.8750
Ir 0.6250 0.8750 0.7500
Ir 0.7500 0.1250 0.3750
Ir 0.7500 0.6250 0.8750
Ir 0.8750 0.6250 0.2500
Ir 0.8750 0.7500 0.6250
Se 0.0414 0.2146 0.1395
Se 0.0414 0.3268 0.9019
Se 0.0751 0.7146 0.6732
Se 0.0751 0.8605 0.4019
Se 0.0981 0.6395 0.4249
Se 0.0981 0.9586 0.6732
Se 0.1395 0.0414 0.2146
Se 0.1395 0.5981 0.9249
Se 0.1732 0.2146 0.5751
Se 0.1732 0.4586 0.5981
Se 0.2146 0.1395 0.0414
Se 0.2146 0.5751 0.1732
Se 0.2854 0.3268 0.9249
Se 0.2854 0.4586 0.3605
Se 0.3268 0.9019 0.0414
Se 0.3268 0.9249 0.2854
Se 0.3605 0.2854 0.4586
Se 0.3605 0.5751 0.9019
Se 0.4019 0.0751 0.8605
Se 0.4019 0.8268 0.5414
Se 0.4249 0.0981 0.6395
Se 0.4249 0.8268 0.7854
Se 0.4586 0.3605 0.2854
Se 0.4586 0.5981 0.1732
Se 0.5414 0.4019 0.8268
Se 0.5414 0.6395 0.7146
Se 0.5751 0.1732 0.2146
Se 0.5751 0.9019 0.3605
Se 0.5981 0.1732 0.4586
Se 0.5981 0.9249 0.1395
Se 0.6395 0.4249 0.0981
Se 0.6395 0.7146 0.5414
Se 0.6732 0.0751 0.7146
Se 0.6732 0.0981 0.9586
Se 0.7146 0.5414 0.6395
Se 0.7146 0.6732 0.0751
Se 0.7854 0.4249 0.8268
Se 0.7854 0.8605 0.9586
Se 0.8268 0.5414 0.4019
Se 0.8268 0.7854 0.4249
Se 0.8605 0.4019 0.0751
Se 0.8605 0.9586 0.7854
Se 0.9019 0.0414 0.3268
Se 0.9019 0.3605 0.5751
Se 0.9249 0.1395 0.5981
Se 0.9249 0.2854 0.3268
Se 0.9586 0.6732 0.0981
Se 0.9586 0.7854 0.8605

=====

Entry 8:
VASP calculation (PBE) on an optimized crystal structure of HoZrPa2.

## Properties
energy above the lowest structure with this stoichiometry	0	meV/atom
size of the total moment	0.000	μB/f.u.
final energy	-94.68	eV/cell
density of states at the Fermi level	2.055	states/eV/atom
energy of formation from the pure elements	0.1393	eV per atom

a = 3.2503 Å, b = 3.2503 Å, c = 33.6693 Å
α = 90.00°, β = 90.00°, γ = 120.00°
Element x y z (fractional)
Ho 0.0000 0.0000 0.0000
Ho 0.3333 0.6667 0.6667
Ho 0.6667 0.3333 0.3333
Zr 0.0000 0.0000 0.8343
Zr 0.3333 0.6667 0.5010
Zr 0.6667 0.3333 0.1676
Pa 0.0000 0.0000 0.2483
Pa 0.0000 0.0000 0.4198
Pa 0.3333 0.6667 0.0865
Pa 0.3333 0.6667 0.9150
Pa 0.6667 0.3333 0.5816
Pa 0.6667 0.3333 0.7532

=====

Entry 9:
VASP calculation (PBE) on an optimized crystal structure of Re3AgAs.

## Properties
energy above the lowest structure with this stoichiometry	0	meV/atom
size of the total moment	0.000	μB/f.u.
final energy	-36.25	eV/cell
density of states at the Fermi level	0.684	states/eV/atom
energy of formation from the pure elements	1.7184	eV per atom

a = 4.5485 Å, b = 4.5485 Å, c = 4.5485 Å
α = 90.00°, β = 90.00°, γ = 90.00°
Element x y z (fractional)
Re 0.0000 0.0000 0.5000
Re 0.0000 0.5000 0.0000
Re 0.5000 0.0000 0.0000
Ag 0.5000 0.5000 0.5000
As 0.0000 0.0000 0.0000

=====

Entry 10:
VASP calculation (PBE) on an optimized crystal structure of Nb6AsN.

## Properties
size of the total moment	0.000	μB/f.u.
E_form (uncorrected)	-315.2	meV per atom
final energy	-75.92	eV/cell
density of states at the Fermi level	0.589	states/eV/atom

a = 4.8305 Å, b = 5.2698 Å, c = 5.7765 Å
α = 96.01°, β = 111.79°, γ = 97.98°
Element x y z (fractional)
Nb 0.0756 0.2672 0.1749
Nb 0.2638 0.8251 0.4688
Nb 0.3179 0.3765 0.7556
Nb 0.6821 0.6235 0.2444
Nb 0.7362 0.1749 0.5312
Nb 0.9244 0.7328 0.8251
As 0.5000 0.0000 0.0000
N 0.5000 0.5000 0.5000

=====

Entry 11:
VASP calculation (PBE) on an optimized crystal structure of AsOsRu2.

## Properties
size of the total moment	0.000	μB/f.u.
final energy	-66.99	eV/cell
density of states at the Fermi level	0.752	states/eV/atom
energy of formation from the pure elements	0.2343	eV per atom

a = 2.9414 Å, b = 4.4066 Å, c = 8.7862 Å
α = 90.00°, β = 90.00°, γ = 90.00°
Element x y z (fractional)
As 0.0000 0.0000 0.0000
As 0.5000 0.5000 0.5000
Os 0.0000 0.0000 0.5000
Os 0.5000 0.5000 0.0000
Ru 0.0000 0.5000 0.2774
Ru 0.0000 0.5000 0.7226
Ru 0.5000 0.0000 0.2226
Ru 0.5000 0.0000 0.7774

=====

Entry 12:
VASP calculation (PBE) on an optimized crystal structure of FeRu2.

## Properties
size of the total moment	1.259	μB/f.u.
final energy	-105.51	eV/cell
density of states at the Fermi level	1.179	states/eV/atom
energy of formation from the pure elements	0.2125	eV per atom

a = 5.9114 Å, b = 5.9114 Å, c = 4.5290 Å
α = 90.00°, β = 90.00°, γ = 90.00°
Element x y z (fractional)
Fe 0.0000 0.0000 0.2500
Fe 0.0000 0.0000 0.7500
Fe 0.5000 0.5000 0.2500
Fe 0.5000 0.5000 0.7500
Ru 0.1485 0.3515 0.0000
Ru 0.1485 0.6485 0.5000
Ru 0.3515 0.1485 0.5000
Ru 0.3515 0.8515 0.0000
Ru 0.6485 0.1485 0.0000
Ru 0.6485 0.8515 0.5000
Ru 0.8515 0.3515 0.5000
Ru 0.8515 0.6485 0.0000